Entry 1:
The following is a DFT calculation (PBE) of Sr2In4HgPt3 after structural relaxation.

Cell lengths 4.6317, 4.6317, 11.5319 Å; angles 90.00, 90.00, 90.00 degrees
Fractional positions:
1 Sr 0.0000 0.5000 0.2469
2 Sr 0.5000 0.0000 0.7531
3 In 0.0000 0.0000 0.0000
4 In 0.0000 0.5000 0.6381
5 In 0.5000 0.0000 0.3619
6 In 0.5000 0.5000 0.0000
7 Hg 0.0000 0.0000 0.5000
8 Pt 0.0000 0.5000 0.8696
9 Pt 0.5000 0.0000 0.1304
10 Pt 0.5000 0.5000 0.5000

Summary:
M_tot in μB per cell: 0.000

Entry 2:
The following is a DFT calculation (PBE) of Sr2In3HgPt4 after structural relaxation.

Cell lengths 4.7153, 4.7153, 10.8178 Å; angles 90.00, 90.00, 90.00 degrees
Fractional positions:
1 Sr 0.0000 0.5000 0.2397
2 Sr 0.5000 0.0000 0.7603
3 In 0.0000 0.5000 0.8787
4 In 0.5000 0.0000 0.1213
5 In 0.5000 0.5000 0.5000
6 Hg 0.0000 0.0000 0.5000
7 Pt 0.0000 0.0000 0.0000
8 Pt 0.0000 0.5000 0.6357
9 Pt 0.5000 0.0000 0.3643
10 Pt 0.5000 0.5000 0.0000

Summary:
M_tot in μB per cell: 0.000

Entry 3:
The following is a DFT calculation (PBE) of TaIn2HgPt after structural relaxation.

Cell lengths 5.5824, 5.5824, 4.8414 Å; angles 90.00, 90.00, 90.00 degrees
Fractional positions:
1 Ta 0.0000 0.0000 0.0000
2 In 0.0000 0.5000 0.0000
3 In 0.5000 0.0000 0.0000
4 Hg 0.5000 0.5000 0.5000
5 Pt 0.0000 0.0000 0.5000

Summary:
M_tot in μB per cell: 0.000

Entry 4:
The following is a DFT calculation (PBE) of TbInHgPt after structural relaxation.

Cell lengths 4.9619, 4.9619, 4.9619 Å; angles 60.00, 60.00, 60.00 degrees
Fractional positions:
1 Tb 0.0000 0.0000 0.0000
2 In 0.5000 0.5000 0.5000
3 Hg 0.2500 0.2500 0.2500
4 Pt 0.7500 0.7500 0.7500

Summary:
M_tot in μB per cell: 0.000

Entry 5:
The following is a DFT calculation (PBE) of TlInHg2Pt after structural relaxation.

Cell lengths 5.3511, 5.3511, 5.1491 Å; angles 90.00, 90.00, 90.00 degrees
Fractional positions:
1 Tl 0.0000 0.0000 0.0000
2 In 0.5000 0.5000 0.0000
3 Hg 0.0000 0.5000 0.5000
4 Hg 0.5000 0.0000 0.5000
5 Pt 0.5000 0.5000 0.5000

Summary:
M_tot in μB per cell: 0.000

Entry 6:
The following is a DFT calculation (PBE) of TlIn2HgPt after structural relaxation.

Cell lengths 5.2681, 5.2681, 5.4095 Å; angles 90.00, 90.00, 90.00 degrees
Fractional positions:
1 Tl 0.0000 0.0000 0.0000
2 In 0.0000 0.5000 0.5000
3 In 0.5000 0.0000 0.5000
4 Hg 0.5000 0.5000 0.0000
5 Pt 0.0000 0.0000 0.5000

Summary:
M_tot in μB per cell: 0.000
E above lowest polymorph in meV per atom: 0

Entry 7:
The following is a DFT calculation (PBE) of TlIn2HgPt after structural relaxation.

Cell lengths 5.1901, 5.1901, 5.3627 Å; angles 90.00, 90.00, 90.00 degrees
Fractional positions:
1 Tl 0.0000 0.0000 0.0000
2 In 0.0000 0.5000 0.5000
3 In 0.5000 0.0000 0.5000
4 Hg 0.5000 0.5000 0.0000
5 Pt 0.5000 0.5000 0.5000

Summary:
M_tot in μB per cell: 0.000
E above lowest polymorph in meV per atom: 4

Entry 8:
The following is a DFT calculation (PBE) of Tm4InHg2Pt after structural relaxation.

Cell lengths 8.8428, 8.8428, 8.8428 Å; angles 33.77, 33.77, 33.77 degrees
Fractional positions:
1 Tm 0.1155 0.1155 0.1155
2 Tm 0.3682 0.3682 0.3682
3 Tm 0.6318 0.6318 0.6318
4 Tm 0.8845 0.8845 0.8845
5 In 0.5000 0.5000 0.5000
6 Hg 0.2421 0.2421 0.2421
7 Hg 0.7579 0.7579 0.7579
8 Pt 0.0000 0.0000 0.0000

Summary:
M_tot in μB per cell: 0.000

Record-wise energy relative to the elements values, in meV/atom: -580.9, -619.5, 660.6, -626.0, -85.9, -127.6, -123.8, -677.9